Run 1
Computed, not measured: a relaxed BaGa2GeIr crystal at the GGA-PBE level of DFT.

a b c (Å): 4.901 4.901 5.006
angles (deg): 90.00 90.00 90.00
Fractional positions:
Ir (0.000, 0.000, 0.000)
Ba (0.500, 0.500, 0.500)
Ge (0.000, 0.000, 0.500)
Ga (0.000, 0.500, 0.000)
Ga (0.500, 0.000, 0.000)

- space-group type = P4/mmm (123)

***

Run 2
Computed, not measured: a relaxed BaGa2GeIr crystal at the GGA-PBE level of DFT.

a b c (Å): 4.809 6.263 4.809
angles (deg): 90.00 90.00 90.00
Last column: magnetic moment on the atom in μB.
Fractional positions:
Ga (0.500, 0.000, 0.000)  -0.01
Ga (0.000, 0.000, 0.500)  -0.01
Ir (0.500, 0.500, 0.500)  0.56
Ge (0.000, 0.000, 0.000)  0.02
Ba (0.000, 0.500, 0.000)  -0.01

- space-group type = P4/mmm (123)

***

Tell me which of them is the most stable. Sure, it is run 1.

***

Run 1
Computed, not measured: a relaxed BaSrGaGe crystal at the GGA-PBE level of DFT.

a b c (Å): 5.637 5.637 5.637
angles (deg): 60.00 60.00 60.00
Fractional positions:
Ga (0.250, 0.250, 0.250)
Sr (0.500, 0.500, 0.500)
Ge (0.750, 0.750, 0.750)
Ba (0.000, 0.000, 0.000)

- space-group type = F-43m (216)

***

Run 2
Computed, not measured: a relaxed BaSrGaGe crystal at the GGA-PBE level of DFT.

a b c (Å): 4.845 4.378 6.686
angles (deg): 90.00 111.24 90.00
Fractional positions:
Ga (0.434, 0.000, 0.867)
Ba (0.142, 0.000, 0.285)
Ge (0.558, 0.500, 0.116)
Sr (0.866, 0.500, 0.732)

- space-group type = Amm2 (38)

***

Tell me which of them is the most stable. Sure, it is run 2.

***

Run 1
Computed, not measured: a relaxed BaGaH4 crystal at the GGA-PBE level of DFT.

a b c (Å): 4.789 5.123 6.936
angles (deg): 90.00 90.00 90.00
Fractional positions:
Ba (0.182, 0.750, 0.270)
Ba (0.682, 0.250, 0.730)
H (0.182, 0.486, 0.623)
H (0.682, 0.986, 0.377)
H (0.412, 0.250, 0.097)
H (0.452, 0.750, 0.903)
H (0.182, 0.014, 0.623)
H (0.682, 0.514, 0.377)
H (0.912, 0.750, 0.903)
H (0.952, 0.250, 0.097)
Ga (0.682, 0.250, 0.239)
Ga (0.182, 0.750, 0.761)

- space-group type = Pmmn (59)

***

Run 2
Computed, not measured: a relaxed BaGaH4 crystal at the GGA-PBE level of DFT.

a b c (Å): 4.113 4.952 4.952
angles (deg): 67.98 65.61 65.61
Fractional positions:
H (0.666, 0.063, 0.610)
H (0.338, 0.943, 0.388)
H (0.338, 0.392, 0.939)
H (0.666, 0.614, 0.059)
Ba (0.002, 0.503, 0.499)
Ga (0.502, 0.003, 0.999)

- space-group type = C2/m (12)

***

Tell me which of them is the most stable. Sure, it is run 1.

***

Run 1
Computed, not measured: a relaxed Ba3GaH crystal at the GGA-PBE level of DFT.

a b c (Å): 7.774 8.205 11.295
angles (deg): 90.00 90.00 90.00
Fractional positions:
H (0.000, 0.500, 0.982)
H (0.000, 0.500, 0.482)
H (0.500, 0.000, 0.982)
H (0.500, 0.000, 0.482)
Ba (0.884, 0.476, 0.732)
Ba (0.807, 0.192, 0.041)
Ba (0.307, 0.308, 0.541)
Ba (0.193, 0.808, 0.923)
Ba (0.116, 0.524, 0.232)
Ba (0.693, 0.692, 0.423)
Ba (0.384, 0.024, 0.232)
Ba (0.616, 0.976, 0.732)
Ba (0.307, 0.308, 0.923)
Ba (0.693, 0.692, 0.041)
Ba (0.807, 0.192, 0.423)
Ba (0.193, 0.808, 0.541)
Ga (0.467, 0.583, 0.732)
Ga (0.033, 0.083, 0.732)
Ga (0.533, 0.417, 0.232)
Ga (0.967, 0.917, 0.232)

- space-group type = Pnma (62)

***

Run 2
Computed, not measured: a relaxed Ba3GaH crystal at the GGA-PBE level of DFT.

a b c (Å): 5.552 5.552 5.552
angles (deg): 90.00 90.00 90.00
Fractional positions:
H (0.000, 0.000, 0.000)
Ga (0.500, 0.500, 0.500)
Ba (0.000, 0.500, 0.000)
Ba (0.500, 0.000, 0.000)
Ba (0.000, 0.000, 0.500)

- space-group type = Pm-3m (221)

***

Tell me which of them is the most stable. Sure, it is run 1.